# 1
First-principles (PBE) data for a relaxed structure of TlAuF, as listed in the Alexandria database. Values from VASP.

Structure (Quantum ESPRESSO input):
```
&SYSTEM
  ibrav = 0, nat = 6, ntyp = 3
/
ATOMIC_SPECIES
Tl 204.38 Tl.upf
Au 196.97 Au.upf
F 19.00 F.upf
ATOMIC_POSITIONS angstrom
Tl 3.083 0.000 0.000
Tl 12.204 0.000 0.000
Au 0.000 0.000 0.006
Au 7.643 0.000 0.061
F 4.604 0.000 1.861
F 10.683 0.000 1.861
CELL_PARAMETERS angstrom
15.287 0.000 0.000
0.000 1.611 2.789
0.000 -1.611 2.789
```

# 2
First-principles (PBE) data for a relaxed structure of Tl2Au2F, as listed in the Alexandria database. Values from VASP.

Structure (Quantum ESPRESSO input):
```
&SYSTEM
  ibrav = 0, nat = 10, ntyp = 3
/
ATOMIC_SPECIES
Tl 204.38 Tl.upf
Au 196.97 Au.upf
F 19.00 F.upf
ATOMIC_POSITIONS angstrom
Tl 1.435 2.315 0.000
Tl 2.315 6.066 0.000
Tl 5.186 1.435 0.000
Tl 6.066 5.186 0.000
Au 0.943 4.693 2.104
Au 2.808 0.943 2.104
Au 4.693 6.558 2.104
Au 6.558 2.808 2.104
F 0.000 0.000 0.000
F 3.751 3.751 0.000
CELL_PARAMETERS angstrom
7.501 0.000 0.000
0.000 7.501 0.000
0.000 0.000 4.209
```

# 3
First-principles (PBE) data for a relaxed structure of YTlAuF2, as listed in the Alexandria database. Values from VASP.

Structure (Quantum ESPRESSO input):
```
&SYSTEM
  ibrav = 0, nat = 5, ntyp = 4
/
ATOMIC_SPECIES
Y 88.91 Y.upf
Tl 204.38 Tl.upf
Au 196.97 Au.upf
F 19.00 F.upf
ATOMIC_POSITIONS angstrom
Y 0.000 0.000 0.000
Tl 2.173 2.173 3.082
Au 0.000 0.000 3.082
F 0.000 2.173 0.000
F 2.173 0.000 0.000
CELL_PARAMETERS angstrom
4.345 0.000 0.000
0.000 4.345 0.000
0.000 0.000 6.164
```

# 4
First-principles (PBE) data for a relaxed structure of Zr2TlAuF, as listed in the Alexandria database. Values from VASP.

Structure (Quantum ESPRESSO input):
```
&SYSTEM
  ibrav = 0, nat = 5, ntyp = 4
/
ATOMIC_SPECIES
Zr 91.22 Zr.upf
Tl 204.38 Tl.upf
Au 196.97 Au.upf
F 19.00 F.upf
ATOMIC_POSITIONS angstrom
Zr 0.000 2.641 0.000
Zr 2.641 0.000 0.000
Tl 0.000 0.000 2.643
Au 0.000 0.000 0.000
F 2.641 2.641 2.643
CELL_PARAMETERS angstrom
5.283 0.000 0.000
0.000 5.283 0.000
0.000 0.000 5.287
```

# 5
First-principles (PBE) data for a relaxed structure of ZrTlAuF2, as listed in the Alexandria database. Values from VASP.

Structure (Quantum ESPRESSO input):
```
&SYSTEM
  ibrav = 0, nat = 5, ntyp = 4
/
ATOMIC_SPECIES
Zr 91.22 Zr.upf
Tl 204.38 Tl.upf
Au 196.97 Au.upf
F 19.00 F.upf
ATOMIC_POSITIONS angstrom
Zr 0.000 0.000 0.000
Tl 2.240 2.240 0.000
Au 0.000 0.000 2.731
F 0.000 2.240 2.731
F 2.240 0.000 2.731
CELL_PARAMETERS angstrom
4.479 0.000 0.000
0.000 4.479 0.000
0.000 0.000 5.462
```

# 6
First-principles (PBE) data for a relaxed structure of U2AuF11, as listed in the Alexandria database. Values from VASP.

Structure (Quantum ESPRESSO input):
```
&SYSTEM
  ibrav = 0, nat = 28, ntyp = 3
/
ATOMIC_SPECIES
U 238.03 U.upf
Au 196.97 Au.upf
F 19.00 F.upf
ATOMIC_POSITIONS angstrom
U 7.251 1.623 0.000
U 1.623 4.005 0.000
U 4.005 1.623 3.181
U -1.623 4.005 3.181
Au 0.000 0.000 0.000
Au 0.000 0.000 3.181
F 2.814 2.814 -1.591
F 2.814 -2.814 1.591
F 5.628 0.000 0.000
F 5.628 -1.993 1.591
F 9.330 1.067 0.000
F 1.067 1.926 0.000
F 3.634 0.000 1.591
F 7.621 0.000 1.591
F 6.694 3.702 0.000
F 3.702 4.561 0.000
F 5.628 1.993 1.591
F -2.814 2.814 1.591
F 0.000 5.628 0.000
F 2.814 2.814 1.591
F 0.000 3.634 1.591
F 1.926 1.067 3.181
F -1.067 1.926 3.181
F -1.993 5.628 1.591
F 1.993 5.628 1.591
F 4.561 3.702 3.181
F -3.702 4.561 3.181
F 0.000 7.621 1.591
CELL_PARAMETERS angstrom
-5.628 5.628 3.181
5.628 -5.628 3.181
5.628 5.628 -3.181
```

For each record above, in turn, the calculated energy relative to the elements, uncorrected values are -0.59, -0.46, -2.17, 0.48, -0.30, -2.95 eV/atom.
For each record above, in turn, the calculated energy values are -18.58, -30.96, -26.68, -22.22, -19.42, -175.34 eV/cell.
For each record above, in turn, the calculated density values are 10.16, 11.52, 7.54, 6.78, 8.04, 7.27 g/cm³.